1.
Computed, not measured: a relaxed TlCdF2 crystal at the PBE level of DFT.

a = 3.536 Å, b = 3.536 Å, c = 23.901 Å
α = 90.00°, β = 90.00°, γ = 120.00°
Positions (direct):
Tl  0.000  0.000  0.000
Tl  0.333  0.667  0.667
Tl  0.667  0.333  0.333
Cd  0.000  0.000  0.500
Cd  0.333  0.667  0.167
Cd  0.667  0.333  0.833
F  0.000  0.000  0.119
F  0.000  0.000  0.881
F  0.333  0.667  0.547
F  0.333  0.667  0.786
F  0.667  0.333  0.214
F  0.667  0.333  0.453

Calculated values
Crystal system = trigonal
Magnetic moment = 0.000 μB per atom
Electronic total energy = -3.34 eV/atom
E above lowest polymorph = 0.0661 eV per atom

2.
Computed, not measured: a relaxed TlCdF2 crystal at the PBE level of DFT.

a = 8.023 Å, b = 3.491 Å, c = 12.167 Å
α = 90.00°, β = 90.00°, γ = 90.00°
Positions (direct):
Tl  0.012  0.250  0.177
Tl  0.488  0.750  0.677
Tl  0.512  0.250  0.323
Tl  0.988  0.750  0.823
Cd  0.136  0.750  0.473
Cd  0.364  0.250  0.973
Cd  0.636  0.750  0.027
Cd  0.864  0.250  0.527
F  0.178  0.750  0.016
F  0.248  0.250  0.807
F  0.252  0.750  0.307
F  0.322  0.250  0.516
F  0.678  0.750  0.484
F  0.748  0.250  0.693
F  0.752  0.750  0.193
F  0.822  0.250  0.984

Calculated values
Crystal system = orthorhombic
Magnetic moment = 0.000 μB per atom
Electronic total energy = -3.41 eV/atom
E above lowest polymorph = 0.0000 eV per atom

3.
Computed, not measured: a relaxed Tl3Cd2F7 crystal at the PBE level of DFT.

a = 11.831 Å, b = 11.831 Å, c = 11.831 Å
α = 158.07°, β = 158.07°, γ = 31.21°
Positions (direct):
Tl  0.000  0.000  0.000
Tl  0.187  0.187  0.000
Tl  0.813  0.813  0.000
Cd  0.401  0.401  0.000
Cd  0.599  0.599  0.000
F  0.097  0.597  0.500
F  0.302  0.302  0.000
F  0.403  0.903  0.500
F  0.500  0.500  0.000
F  0.597  0.097  0.500
F  0.698  0.698  0.000
F  0.903  0.403  0.500

Calculated values
Crystal system = tetragonal
Magnetic moment = 0.000 μB per atom
Electronic total energy = -3.82 eV/atom

4.
Computed, not measured: a relaxed TlCd2F crystal at the PBE level of DFT.

a = 3.410 Å, b = 3.410 Å, c = 29.348 Å
α = 90.00°, β = 90.00°, γ = 120.00°
Positions (direct):
Tl  0.000  0.000  0.000
Tl  0.333  0.667  0.667
Tl  0.667  0.333  0.333
Cd  0.000  0.000  0.426
Cd  0.000  0.000  0.574
Cd  0.333  0.667  0.093
Cd  0.333  0.667  0.241
Cd  0.667  0.333  0.759
Cd  0.667  0.333  0.907
F  0.000  0.000  0.500
F  0.333  0.667  0.167
F  0.667  0.333  0.833

Calculated values
Crystal system = trigonal
Magnetic moment = 0.000 μB per atom
Electronic total energy = -2.18 eV/atom
E above lowest polymorph = 0.0162 eV per atom

5.
Computed, not measured: a relaxed TlCd2F5 crystal at the PBE level of DFT.

a = 6.295 Å, b = 6.295 Å, c = 11.335 Å
α = 90.00°, β = 90.00°, γ = 138.57°
Positions (direct):
Tl  0.081  0.919  0.750
Tl  0.919  0.081  0.250
Cd  0.359  0.641  0.560
Cd  0.359  0.641  0.940
Cd  0.641  0.359  0.060
Cd  0.641  0.359  0.440
F  0.179  0.821  0.025
F  0.179  0.821  0.475
F  0.305  0.695  0.750
F  0.457  0.543  0.113
F  0.457  0.543  0.387
F  0.543  0.457  0.613
F  0.543  0.457  0.887
F  0.695  0.305  0.250
F  0.821  0.179  0.525
F  0.821  0.179  0.975

Calculated values
Crystal system = orthorhombic
Magnetic moment = 0.000 μB per atom
Electronic total energy = -3.79 eV/atom

6.
Computed, not measured: a relaxed Tl2CdF crystal at the PBE level of DFT.

a = 3.619 Å, b = 3.619 Å, c = 27.131 Å
α = 90.00°, β = 90.00°, γ = 120.00°
Positions (direct):
Tl  0.000  0.000  0.234
Tl  0.000  0.000  0.766
Tl  0.333  0.667  0.432
Tl  0.333  0.667  0.901
Tl  0.667  0.333  0.099
Tl  0.667  0.333  0.568
Cd  0.000  0.000  0.000
Cd  0.333  0.667  0.667
Cd  0.667  0.333  0.333
F  0.000  0.000  0.500
F  0.333  0.667  0.167
F  0.667  0.333  0.833

Calculated values
Crystal system = trigonal
Magnetic moment = 0.000 μB per atom
Electronic total energy = -2.62 eV/atom
E above lowest polymorph = 0.0000 eV per atom